Version A
{"formula": "Al2HgAu2", "functional": "PBE", "state": "optimized geometry", "spacegroup": "P4/mbm (127)", "lattice": [[-4.220, 4.976, 5.030], [-5.583, 1.256, -5.927], [-1.468, -2.176, 0.921]], "species": ["Au", "Au", "Au", "Au", "Hg", "Hg", "Al", "Al", "Al", "Al"], "fractional_positions": [[0.163, 0.663, 0.500], [0.663, 0.837, 0.500], [0.837, 0.337, 0.500], [0.337, 0.163, 0.500], [0.000, 0.000, 0.000], [0.500, 0.500, 0.000], [0.368, 0.868, 0.000], [0.868, 0.632, 0.000], [0.632, 0.132, 0.000], [0.132, 0.368, 0.000]]}

=====

Version B
{"formula": "Al2HgAu2", "functional": "PBE", "state": "optimized geometry", "spacegroup": "I4/mmm (139)", "lattice": [[4.107, 0.000, 0.000], [0.000, 4.107, 0.000], [2.054, 2.054, 5.950]], "species": ["Au", "Au", "Hg", "Al", "Al"], "fractional_positions": [[0.381, 0.381, 0.237], [0.619, 0.619, 0.763], [0.000, 0.000, 0.000], [0.750, 0.250, 0.500], [0.250, 0.750, 0.500]]}

=====

The structure with the least stability is version A.

=====

Version A
{"formula": "Al2Hg2Au", "functional": "PBE", "state": "optimized geometry", "spacegroup": "P4/mbm (127)", "lattice": [[-6.230, 0.122, 4.112], [3.425, -3.979, 5.307], [1.167, 3.233, 1.671]], "species": ["Au", "Au", "Hg", "Hg", "Hg", "Hg", "Al", "Al", "Al", "Al"], "fractional_positions": [[0.000, 0.000, 0.000], [0.500, 0.500, 0.000], [0.353, 0.853, 0.000], [0.853, 0.647, 0.000], [0.647, 0.147, 0.000], [0.147, 0.353, 0.000], [0.157, 0.657, 0.500], [0.657, 0.843, 0.500], [0.843, 0.343, 0.500], [0.343, 0.157, 0.500]]}

=====

Version B
{"formula": "Al2Hg2Au", "functional": "PBE", "state": "optimized geometry", "spacegroup": "I4/mmm (139)", "lattice": [[-1.053, -3.658, 0.031], [0.058, -0.048, -3.806], [6.688, -3.921, -1.752]], "species": ["Au", "Hg", "Hg", "Al", "Al"], "fractional_positions": [[0.000, 0.000, 0.000], [0.401, 0.401, 0.198], [0.599, 0.599, 0.802], [0.750, 0.250, 0.500], [0.250, 0.750, 0.500]]}

=====

The structure with the least stability is version B.

=====

Version A
{"formula": "AlHgAu2", "functional": "PBE", "state": "optimized geometry", "spacegroup": "Cm (8)", "lattice": [[-4.260, 2.114, -0.734], [-4.577, -1.481, -0.121], [-1.643, 0.930, 4.607]], "species": ["Au", "Au", "Hg", "Al"], "fractional_positions": [[0.988, 0.988, 0.047], [0.743, 0.743, 0.775], [0.504, 0.504, 0.507], [0.265, 0.265, 0.171]]}

=====

Version B
{"formula": "AlHgAu2", "functional": "PBE", "state": "optimized geometry", "spacegroup": "Fm-3m (225)", "lattice": [[0.000, 3.334, 3.334], [3.334, 0.000, 3.334], [3.334, 3.334, 0.000]], "species": ["Au", "Au", "Hg", "Al"], "fractional_positions": [[0.250, 0.250, 0.250], [0.750, 0.750, 0.750], [0.500, 0.500, 0.500], [0.000, 0.000, 0.000]]}

=====

The structure with the least stability is version B.

=====

Version A
{"formula": "AlHgAu2", "functional": "PBE", "state": "optimized geometry", "spacegroup": "P4mm (99)", "lattice": [[-2.570, 2.455, 0.598], [-0.561, -1.386, 3.280], [3.963, 3.611, 2.203]], "species": ["Au", "Au", "Hg", "Al"], "fractional_positions": [[0.000, 0.000, 0.975], [0.500, 0.500, 0.249], [0.000, 0.000, 0.491], [0.500, 0.500, 0.785]]}

=====

Version B
{"formula": "AlHgAu2", "functional": "PBE", "state": "optimized geometry", "spacegroup": "R3m (160)", "lattice": [[-1.564, -0.587, -2.880], [1.441, -1.906, -2.319], [-3.571, -7.477, 1.537]], "species": ["Al", "Hg", "Au", "Au"], "fractional_positions": [[0.667, 0.667, 0.000], [0.500, 0.500, 0.500], [0.072, 0.072, 0.785], [0.262, 0.262, 0.215]]}

=====

Version C
{"formula": "AlHgAu2", "functional": "PBE", "state": "optimized geometry", "spacegroup": "R3m (160)", "lattice": [[-8.574, -1.640, -0.569], [-7.421, -4.628, -0.202], [-7.947, -2.775, 2.382]], "species": ["Au", "Au", "Hg", "Al"], "fractional_positions": [[0.007, 0.007, 0.007], [0.253, 0.253, 0.253], [0.496, 0.496, 0.496], [0.744, 0.744, 0.744]]}

=====

The structure with the least stability is version C.

=====

Version A
{"formula": "AlHgAu", "functional": "PBE", "state": "optimized geometry", "spacegroup": "Fmm2 (42)", "lattice": [[6.043, -0.093, 0.099], [5.211, 3.050, 0.094], [0.833, 0.201, 3.136]], "species": ["Au", "Hg", "Al"], "fractional_positions": [[0.358, 0.358, 0.642], [0.662, 0.662, 0.338], [0.980, 0.980, 0.020]]}

=====

Version B
{"formula": "AlHgAu", "functional": "PBE", "state": "optimized geometry", "spacegroup": "P3m1 (156)", "lattice": [[3.264, 0.000, 0.000], [-1.632, 2.827, 0.000], [0.000, 0.000, 6.396]], "species": ["Au", "Hg", "Al"], "fractional_positions": [[0.667, 0.333, 0.302], [0.333, 0.667, 0.676], [0.000, 0.000, 0.022]]}

=====

The structure with the least stability is version A.

=====

Version A
{"formula": "AlHgAu", "functional": "PBE", "state": "optimized geometry", "spacegroup": "F-43m (216)", "lattice": [[-2.797, 2.777, 2.233], [-3.884, 1.325, -1.918], [-3.952, -1.554, 1.579]], "species": ["Au", "Hg", "Al"], "fractional_positions": [[0.750, 0.750, 0.750], [0.000, 0.000, 0.000], [0.500, 0.500, 0.500]]}

=====

Version B
{"formula": "AlHgAu", "functional": "PBE", "state": "optimized geometry", "spacegroup": "P-3m1 (164)", "lattice": [[4.238, 0.000, 0.000], [-2.119, 3.670, 0.000], [0.000, 0.000, 9.410]], "species": ["Al", "Al", "Hg", "Hg", "Au", "Au"], "fractional_positions": [[0.667, 0.333, 0.098], [0.333, 0.667, 0.902], [0.000, 0.000, 0.352], [0.000, 0.000, 0.648], [0.667, 0.333, 0.822], [0.333, 0.667, 0.178]]}

=====

The structure with the least stability is version A.

=====

Version A
{"formula": "AlHg2Au2", "functional": "PBE", "state": "optimized geometry", "spacegroup": "P4/mbm (127)", "lattice": [[8.574, 0.000, 0.000], [0.000, 8.574, 0.000], [0.000, 0.000, 2.935]], "species": ["Au", "Au", "Au", "Au", "Hg", "Hg", "Hg", "Hg", "Al", "Al"], "fractional_positions": [[0.169, 0.669, 0.500], [0.669, 0.831, 0.500], [0.831, 0.331, 0.500], [0.331, 0.169, 0.500], [0.370, 0.870, 0.000], [0.870, 0.630, 0.000], [0.630, 0.130, 0.000], [0.130, 0.370, 0.000], [0.000, 0.000, 0.000], [0.500, 0.500, 0.000]]}

=====

Version B
{"formula": "AlHg2Au2", "functional": "PBE", "state": "optimized geometry", "spacegroup": "I4/mmm (139)", "lattice": [[-2.166, 2.428, -2.272], [-2.043, -3.112, -1.378], [-6.798, 0.404, 3.447]], "species": ["Au", "Au", "Hg", "Hg", "Al"], "fractional_positions": [[0.407, 0.407, 0.186], [0.593, 0.593, 0.814], [0.750, 0.250, 0.500], [0.250, 0.750, 0.500], [0.000, 0.000, 0.000]]}

=====

The structure with the least stability is version A.

=====

Version A
{"formula": "Ho2Al5Au3", "functional": "PBE", "state": "optimized geometry", "spacegroup": "Ibam (72)", "lattice": [[6.045, 0.000, 0.000], [3.022, 8.055, -0.324], [3.022, 0.922, 8.008]], "species": ["Ho", "Ho", "Ho", "Ho", "Al", "Al", "Al", "Al", "Al", "Al", "Al", "Al", "Al", "Al", "Au", "Au", "Au", "Au", "Au", "Au"], "fractional_positions": [[0.129, 0.611, 0.130], [0.629, 0.130, 0.611], [0.871, 0.389, 0.870], [0.371, 0.870, 0.389], [0.386, 0.259, 0.969], [0.886, 0.969, 0.259], [0.614, 0.741, 0.031], [0.114, 0.031, 0.741], [0.493, 0.757, 0.757], [0.507, 0.243, 0.243], [0.750, 0.500, 0.500], [0.250, 0.500, 0.500], [0.007, 0.243, 0.243], [0.993, 0.757, 0.757], [0.371, 0.498, 0.761], [0.871, 0.761, 0.498], [0.629, 0.502, 0.239], [0.129, 0.239, 0.502], [0.250, 0.000, 0.000], [0.750, 0.000, 0.000]]}

=====

Version B
{"formula": "Ho2Al5Au3", "functional": "PBE", "state": "optimized geometry", "spacegroup": "Cmc2_1 (36)", "lattice": [[-1.147, 3.766, -1.861], [0.553, -2.946, -6.301], [-11.518, -5.301, 1.466]], "species": ["Ho", "Ho", "Ho", "Ho", "Al", "Al", "Al", "Al", "Al", "Al", "Al", "Al", "Al", "Al", "Au", "Au", "Au", "Au", "Au", "Au"], "fractional_positions": [[0.482, 0.751, 0.963], [0.174, 0.735, 0.348], [0.826, 0.235, 0.652], [0.518, 0.251, 0.037], [0.398, 0.402, 0.795], [0.292, 0.520, 0.584], [0.708, 0.020, 0.416], [0.121, 0.256, 0.242], [0.293, 0.923, 0.585], [0.947, 0.080, 0.894], [0.707, 0.423, 0.415], [0.879, 0.756, 0.758], [0.053, 0.580, 0.106], [0.602, 0.902, 0.205], [0.774, 0.719, 0.549], [0.609, 0.512, 0.217], [0.050, 0.968, 0.101], [0.226, 0.219, 0.451], [0.950, 0.468, 0.899], [0.391, 0.012, 0.783]]}

=====

The structure with the least stability is version A.

=====

Version A
{"formula": "HoAlAu3", "functional": "PBE", "state": "optimized geometry", "spacegroup": "P2_1/m (11)", "lattice": [[-1.198, 2.901, -3.110], [-6.287, -1.635, 0.895], [1.114, 5.275, 4.491]], "species": ["Ho", "Ho", "Al", "Al", "Au", "Au", "Au", "Au", "Au", "Au"], "fractional_positions": [[0.476, 0.754, 0.633], [0.976, 0.147, 0.014], [0.976, 0.731, 0.259], [0.476, 0.170, 0.389], [0.476, 0.296, 0.777], [0.476, 0.859, 0.083], [0.976, 0.432, 0.450], [0.976, 0.605, 0.870], [0.976, 0.043, 0.564], [0.476, 0.470, 0.197]]}

=====

Version B
{"formula": "HoAlAu3", "functional": "PBE", "state": "optimized geometry", "spacegroup": "Pnma (62)", "lattice": [[-1.969, -0.361, 4.284], [-7.436, -3.331, -3.699], [3.441, -8.632, 0.855]], "species": ["Ho", "Ho", "Ho", "Ho", "Al", "Al", "Al", "Al", "Au", "Au", "Au", "Au", "Au", "Au", "Au", "Au", "Au", "Au", "Au", "Au"], "fractional_positions": [[0.750, 0.766, 0.998], [0.250, 0.734, 0.498], [0.750, 0.266, 0.502], [0.250, 0.234, 0.002], [0.250, 0.100, 0.675], [0.250, 0.600, 0.825], [0.750, 0.400, 0.175], [0.750, 0.900, 0.325], [0.250, 0.568, 0.097], [0.750, 0.432, 0.903], [0.250, 0.068, 0.403], [0.750, 0.932, 0.597], [0.250, 0.386, 0.654], [0.750, 0.114, 0.154], [0.250, 0.886, 0.846], [0.750, 0.609, 0.659], [0.250, 0.391, 0.341], [0.750, 0.109, 0.841], [0.750, 0.614, 0.346], [0.250, 0.891, 0.159]]}

=====

The structure with the least stability is version B.

=====

Version A
{"formula": "TbHoAlAu", "functional": "PBE", "state": "optimized geometry", "spacegroup": "F-43m (216)", "lattice": [[-1.900, 0.306, 4.757], [-4.795, -1.560, 0.953], [-0.815, -4.276, 2.718]], "species": ["Tb", "Au", "Ho", "Al"], "fractional_positions": [[0.500, 0.500, 0.500], [0.750, 0.750, 0.750], [0.000, 0.000, 0.000], [0.250, 0.250, 0.250]]}

=====

Version B
{"formula": "TbHoAlAu", "functional": "PBE", "state": "optimized geometry", "spacegroup": "P4mm (99)", "lattice": [[3.556, 0.000, 0.000], [0.000, 3.556, 0.000], [0.000, 0.000, 7.456]], "species": ["Tb", "Ho", "Al", "Au"], "fractional_positions": [[0.000, 0.000, 0.362], [0.000, 0.000, 0.848], [0.500, 0.500, 0.103], [0.500, 0.500, 0.615]]}

=====

The structure with the least stability is version A.

=====

Version A
{"formula": "AlAu2I", "functional": "PBE", "state": "optimized geometry", "spacegroup": "I-42d (122)", "lattice": [[-4.946, 4.877, -0.678], [0.621, -0.336, -6.944], [-5.272, -0.899, -3.935]], "species": ["I", "I", "Au", "Au", "Au", "Au", "Al", "Al"], "fractional_positions": [[0.000, 0.000, 0.000], [0.750, 0.250, 0.500], [0.573, 0.125, 0.250], [0.177, 0.625, 0.250], [0.375, 0.427, 0.750], [0.875, 0.823, 0.750], [0.500, 0.500, 0.000], [0.250, 0.750, 0.500]]}

=====

Version B
{"formula": "AlAu2I", "functional": "PBE", "state": "optimized geometry", "spacegroup": "Fm-3m (225)", "lattice": [[0.000, 3.559, 3.559], [3.559, 0.000, 3.559], [3.559, 3.559, 0.000]], "species": ["I", "Au", "Au", "Al"], "fractional_positions": [[0.500, 0.500, 0.500], [0.250, 0.250, 0.250], [0.750, 0.750, 0.750], [0.000, 0.000, 0.000]]}

=====

The structure with the least stability is version B.

=====

Version A
{"formula": "Al2AuI", "functional": "PBE", "state": "optimized geometry", "spacegroup": "I-42d (122)", "lattice": [[-4.719, -4.433, -0.558], [2.979, -3.726, 4.414], [-3.903, -1.394, 6.242]], "species": ["I", "I", "Au", "Au", "Al", "Al", "Al", "Al"], "fractional_positions": [[0.500, 0.500, 0.000], [0.250, 0.750, 0.500], [0.000, 0.000, 0.000], [0.750, 0.250, 0.500], [0.701, 0.125, 0.250], [0.049, 0.625, 0.250], [0.375, 0.299, 0.750], [0.875, 0.951, 0.750]]}

=====

Version B
{"formula": "Al2AuI", "functional": "PBE", "state": "optimized geometry", "spacegroup": "Fm-3m (225)", "lattice": [[0.000, 3.608, 3.608], [3.608, 0.000, 3.608], [3.608, 3.608, 0.000]], "species": ["I", "Au", "Al", "Al"], "fractional_positions": [[0.000, 0.000, 0.000], [0.500, 0.500, 0.500], [0.250, 0.250, 0.250], [0.750, 0.750, 0.750]]}

=====

The structure with the least stability is version B.